DFT (GGA-PBE) results for Dy3CuBi after structural relaxation.

## Properties
DFT total energy (eV/atom): -4.70
Energy of formation (eV/atom): -0.348

a b c (Å): 4.188 6.873 9.738
angles (deg): 90.00 90.00 90.00
Space group Pmmn (No. 59, origin choice 2)
Inequivalent atoms, fractional coordinates:
Dy  0.250  0.004  0.159 (multiplicity 4)
Dy  0.250  0.250  0.590 (multiplicity 2)
Cu  0.250  0.250  0.915 (multiplicity 2)
Bi  0.250  0.750  0.651 (multiplicity 2)

***

DFT (GGA-PBE) results for NiBi2P after structural relaxation.

## Properties
DFT total energy (eV/atom): -4.47
Energy of formation (eV/atom): 0.265

a b c (Å): 6.132 6.132 12.048
angles (deg): 90.00 90.00 90.00
Space group I-42d (No. 122)
Inequivalent atoms, fractional coordinates:
Ni  0.000  0.000  0.000 (multiplicity 4)
Bi  0.221  0.250  0.125 (multiplicity 8)
P  0.000  0.000  0.500 (multiplicity 4)

***

DFT (GGA-PBE) results for ScRh3Pb after structural relaxation.

## Properties
DFT total energy (eV/atom): -5.59
Energy above the lowest structure with this stoichiometry (kJ/mol of formula units): 154
Energy of formation (eV/atom): 0.825

a b c (Å): 4.901 4.901 4.901
angles (deg): 90.00 90.00 90.00
Space group Pm-3m (No. 221)
Inequivalent atoms, fractional coordinates:
Sc  0.000  0.000  0.000 (multiplicity 1)
Rh  0.000  0.500  0.500 (multiplicity 3)
Pb  0.500  0.500  0.500 (multiplicity 1)

***

DFT (GGA-PBE) results for In2TeIr after structural relaxation.

## Properties
DFT total energy (eV/atom): -3.98
Raw formation energy (eV per atom): 0.39

a b c (Å): 4.645 4.645 4.080
angles (deg): 90.00 90.00 90.00
Space group P4/mmm (No. 123)
Inequivalent atoms, fractional coordinates:
In  0.000  0.500  0.000 (multiplicity 2)
Te  0.000  0.000  0.500 (multiplicity 1)
Ir  0.500  0.500  0.500 (multiplicity 1)

***

DFT (GGA-PBE) results for ZnPdAu after structural relaxation.

## Properties
DFT total energy (eV/atom): -3.45
Energy above the lowest structure with this stoichiometry (kJ/mol of formula units): 41
Energy of formation (eV/atom): -0.206

a b c (Å): 5.966 5.966 5.966
angles (deg): 90.00 90.00 90.00
Space group F-43m (No. 216)
Inequivalent atoms, fractional coordinates:
Zn  0.000  0.000  0.000 (multiplicity 4)
Pd  0.250  0.250  0.750 (multiplicity 4)
Au  0.250  0.250  0.250 (multiplicity 4)

***

DFT (GGA-PBE) results for AcLu3 after structural relaxation.

## Properties
DFT total energy (eV/atom): -4.33
Energy of formation (eV/atom): 0.090

a b c (Å): 5.089 5.089 5.089
angles (deg): 90.00 90.00 90.00
Space group Pm-3m (No. 221)
Inequivalent atoms, fractional coordinates:
Ac  0.000  0.000  0.000 (multiplicity 1)
Lu  0.000  0.500  0.500 (multiplicity 3)